No. 1
PBE TiCr3Cu2Se8, relaxed; formation energy (no corrections) = -0.60 eV per atom; N(E_F) = 5.1 states/eV per cell; symmetry = No. 166; raw total energy = -81.20 eV per formula unit
1.0
6.270 -3.744 0.010
6.270 3.744 0.010
4.024 0.000 6.094
Ti Se Cu Cr
1 8 2 3
Direct
0.500 0.500 0.500
0.741 0.741 0.741
0.259 0.259 0.259
0.746 0.269 0.746
0.254 0.731 0.254
0.746 0.746 0.269
0.269 0.746 0.746
0.731 0.254 0.254
0.254 0.254 0.731
0.124 0.124 0.124
0.876 0.876 0.876
0.500 0.000 0.500
0.500 0.500 0.000
0.000 0.500 0.500


No. 2
PBE TlSiAu2, relaxed; formation energy (no corrections) = 0.06 eV per atom; N(E_F) = 1.1 states/eV per cell; symmetry = No. 8; raw total energy = -14.09 eV per formula unit
1.0
-3.687 0.592 -2.497
-4.438 -0.634 0.289
-2.494 6.206 2.060
Au Tl Si
2 1 1
Direct
0.834 0.834 0.579
0.961 0.961 0.977
0.175 0.175 0.256
0.531 0.531 0.687


No. 3
PBE Zn2GaPt3, relaxed; ΔE_f = -3.2 eV/f.u.; N(E_F) = 2.4 states/eV per cell; symmetry = No. 164; raw total energy = -26.90 eV per formula unit
1.0
-2.265 -2.433 -2.842
3.644 -1.590 1.822
-2.898 -2.018 4.037
Pt Zn Ga
3 2 1
Direct
0.667 0.333 0.845
0.000 0.000 0.500
0.333 0.667 0.155
0.667 0.333 0.346
0.333 0.667 0.654
0.000 0.000 0.000


No. 4
PBE La2InTe2, relaxed; formation energy (no corrections) = -1.06 eV per atom; N(E_F) = 12.7 states/eV per cell; symmetry = No. 127; raw total energy = -24.16 eV per formula unit
1.0
8.815 0.000 0.000
0.000 8.815 0.000
0.000 0.000 4.133
La In Te
4 2 4
Direct
0.156 0.656 0.500
0.656 0.844 0.500
0.844 0.344 0.500
0.344 0.156 0.500
0.500 0.500 0.000
0.000 0.000 0.000
0.858 0.642 0.000
0.358 0.858 0.000
0.142 0.358 0.000
0.642 0.142 0.000


No. 5
PBE AlVCo3, relaxed; ΔE_f = -0.1 eV/f.u.; N(E_F) = 22.6 states/eV per cell; symmetry = No. 63; raw total energy = -34.31 eV per formula unit
1.0
6.672 0.003 0.002
-0.003 6.443 1.093
-0.003 2.379 6.087
Co V Al
12 4 4
Direct
0.440 0.285 0.927
0.060 0.073 0.715
0.440 0.073 0.715
0.560 0.927 0.285
0.940 0.927 0.285
0.060 0.285 0.927
0.500 0.693 0.693
0.560 0.715 0.073
0.940 0.715 0.073
0.500 0.307 0.307
0.000 0.307 0.307
0.000 0.693 0.693
0.750 0.989 0.570
0.750 0.430 0.011
0.250 0.570 0.989
0.250 0.011 0.430
0.250 0.912 0.088
0.750 0.514 0.486
0.250 0.486 0.514
0.750 0.088 0.912


No. 6
PBE Tb2TmNbN4, relaxed; formation energy (no corrections) = -1.53 eV per atom; N(E_F) = 2.2 states/eV per cell; symmetry = No. 10; raw total energy = -69.36 eV per formula unit
1.0
3.350 0.000 0.000
0.000 5.814 0.116
0.000 -2.020 5.472
Tb N Nb Tm
2 4 1 1
Direct
0.500 0.000 0.500
0.000 0.500 0.500
0.000 0.243 0.767
0.500 0.765 0.770
0.000 0.757 0.233
0.500 0.235 0.230
0.000 0.000 0.000
0.500 0.500 0.000